[1]
Material: Na2Ca6Cd
Method: DFT, PBE
State: relaxed

Cell: 9.570 9.570 9.570 Å, 113.31 109.89 105.31°
Sites, in units of the cell vectors:
Na  0.000  0.355  0.355
Na  0.000  0.645  0.645
Na  0.135  0.000  0.135
Na  0.865  0.000  0.865
Ca  0.068  0.748  0.319
Ca  0.248  0.070  0.823
Ca  0.248  0.425  0.177
Ca  0.311  0.263  0.574
Ca  0.311  0.737  0.048
Ca  0.429  0.748  0.681
Ca  0.571  0.252  0.319
Ca  0.689  0.263  0.952
Ca  0.689  0.737  0.426
Ca  0.752  0.575  0.823
Ca  0.752  0.930  0.177
Ca  0.932  0.252  0.681
Cd  0.500  0.000  0.500
Cd  0.500  0.500  0.000

Properties
DFT total energy, eV/atom: -1.725
N(E_F), states/eV/atom: 0.8065
Space-group type: Immm, No. 71
Formation energy from the elements, eV per atom: 0.0038


[2]
Material: CdCuOs
Method: DFT, PBE
State: relaxed

Cell: 2.913 4.617 13.878 Å, 90.00 90.00 90.00°
Sites, in units of the cell vectors:
Cd  0.000  0.000  0.000
Cd  0.000  0.500  0.500
Cd  0.500  0.000  0.500
Cd  0.500  0.500  0.000
Cu  0.000  0.000  0.333
Cu  0.000  0.500  0.833
Cu  0.500  0.000  0.833
Cu  0.500  0.500  0.333
Os  0.000  0.000  0.680
Os  0.000  0.500  0.180
Os  0.500  0.000  0.180
Os  0.500  0.500  0.680

Properties
DFT total energy, eV/atom: -4.912
N(E_F), states/eV/atom: 0.8634
Space-group type: Fmm2, No. 42
Energy above the most stable polymorph in this dataset, meV/atom: 76.1
Formation energy from the elements, eV per atom: 0.5014


[3]
Material: Er5Tm2Th4
Method: DFT, PBE
State: relaxed

Cell: 3.555 8.587 11.771 Å, 104.59 98.64 90.04°
Sites, in units of the cell vectors:
Er  0.000  0.000  0.000
Er  0.273  0.187  0.546
Er  0.364  0.906  0.727
Er  0.636  0.094  0.273
Er  0.727  0.813  0.454
Tm  0.090  0.720  0.180
Tm  0.910  0.280  0.820
Th  0.181  0.452  0.364
Th  0.454  0.636  0.909
Th  0.546  0.364  0.091
Th  0.819  0.548  0.636

Properties
DFT total energy, eV/atom: -5.563
N(E_F), states/eV/atom: 1.4194
Space-group type: P-1, No. 2
Energy above the most stable polymorph in this dataset, meV/atom: 0.0
Formation energy from the elements, eV per atom: 0.0218